Compound: Y2TiTc3
Source: Alexandria via LeMat-Bulk
Functional: PBE-GGA
Structure: relaxed

Computed properties:
* energy relative to the elements: -189 meV/atom
* size of the total moment: 0.000 μB per formula unit
* calculated total energy: -53.1 eV per cell

Cell lengths 5.405, 5.405, 5.491 Å; angles 90.07, 119.46, 119.94 degrees
Element x y z (fractional)
1 Y 0.756 0.378 0.134
2 Y 0.244 0.622 0.866
3 Ti 0.000 0.000 0.000
4 Tc 0.500 0.500 0.500
5 Tc 0.000 0.000 0.500
6 Tc 0.500 0.000 0.500

---

Compound: Li3As2Pd3
Source: Alexandria via LeMat-Bulk
Functional: PBE-GGA
Structure: relaxed

Computed properties:
* energy relative to the elements: -568 meV/atom
* size of the total moment: 0.000 μB per formula unit
* distance to the lowest polymorph of the same formula: 0.00 kJ/mol of atoms
* calculated total energy: -35.2 eV per cell

Cell lengths 4.333, 4.333, 7.525 Å; angles 73.27, 73.27, 60.00 degrees
Element x y z (fractional)
1 Li 0.250 0.250 0.250
2 Li 0.750 0.750 0.750
3 Li 0.624 0.624 0.127
4 As 0.001 0.001 0.996
5 As 0.498 0.498 0.505
6 Pd 0.126 0.126 0.622
7 Pd 0.877 0.877 0.368
8 Pd 0.373 0.373 0.882

---

Compound: Ce4Pa
Source: Alexandria via LeMat-Bulk
Functional: PBE-GGA
Structure: relaxed

Computed properties:
* energy relative to the elements: 607 meV/atom
* size of the total moment: 3.268 μB per formula unit
* distance to the lowest polymorph of the same formula: 57.30 kJ/mol of atoms
* calculated total energy: -30.2 eV per cell

Cell lengths 5.468, 5.468, 5.468 Å; angles 90.00, 90.00, 90.00 degrees
Site moments in Bohr magnetons follow the coordinates.
Element x y z (fractional)
1 Pa 0.500 0.500 0.500  0.71
2 Ce 0.000 0.000 0.000  0.90
3 Ce 0.500 0.000 0.500  0.42
4 Ce 0.000 0.500 0.500  0.42
5 Ce 0.500 0.500 0.000  0.42

---

Compound: Co2RuAuC
Source: Alexandria via LeMat-Bulk
Functional: PBE-GGA
Structure: relaxed

Computed properties:
* energy relative to the elements: 254 meV/atom
* size of the total moment: 3.167 μB per formula unit
* calculated total energy: -34.7 eV per cell

Cell lengths 3.911, 3.911, 3.993 Å; angles 90.00, 90.00, 90.00 degrees
Site moments in Bohr magnetons follow the coordinates.
Element x y z (fractional)
1 Ru 0.000 0.000 0.500  0.41
2 C 0.000 0.000 0.000  -0.05
3 Au 0.500 0.500 0.500  0.11
4 Co 0.000 0.500 0.000  1.38
5 Co 0.500 0.000 0.000  1.38

---

Compound: BaZnGaP2
Source: Alexandria via LeMat-Bulk
Functional: PBE-GGA
Structure: relaxed

Computed properties:
* energy relative to the elements: -382 meV/atom
* size of the total moment: 0.000 μB per formula unit
* distance to the lowest polymorph of the same formula: 0.00 kJ/mol of atoms
* calculated total energy: -37.9 eV per cell

Cell lengths 6.252, 7.129, 5.804 Å; angles 114.08, 90.00, 90.00 degrees
Element x y z (fractional)
1 Ba 0.249 0.500 0.750
2 Ba 0.751 0.500 0.250
3 Zn 0.500 0.000 0.250
4 Zn 0.500 0.000 0.750
5 Ga 0.000 0.000 0.000
6 Ga 0.000 0.000 0.500
7 P 0.721 0.772 0.886
8 P 0.721 0.228 0.614
9 P 0.279 0.772 0.386
10 P 0.279 0.228 0.114

---

Compound: Mg3Sb
Source: Alexandria via LeMat-Bulk
Functional: PBE-GGA
Structure: relaxed

Computed properties:
* size of the total moment: 0.000 μB per formula unit
* distance to the lowest polymorph of the same formula: 2.58 kJ/mol of atoms
* calculated total energy: -9.5 eV per cell
* formation energy from raw total energies: -0.15 eV per atom

Cell lengths 4.377, 4.377, 5.740 Å; angles 112.41, 112.41, 90.00 degrees
Element x y z (fractional)
1 Sb 0.000 0.000 0.000
2 Mg 0.750 0.250 0.500
3 Mg 0.250 0.750 0.500
4 Mg 0.500 0.500 0.000

---

Compound: Ac2YMgS6
Source: Alexandria via LeMat-Bulk
Functional: PBE-GGA
Structure: relaxed

Computed properties:
* size of the total moment: 0.000 μB per formula unit
* calculated total energy: -118.3 eV per cell
* formation energy from raw total energies: -1.81 eV per atom

Cell lengths 6.703, 7.540, 9.909 Å; angles 90.00, 91.57, 90.00 degrees
Element x y z (fractional)
1 Ac 0.036 0.904 0.248
2 Ac 0.536 0.596 0.748
3 Ac 0.964 0.096 0.752
4 Ac 0.464 0.404 0.252
5 Y 0.500 0.000 0.000
6 Y 0.000 0.500 0.500
7 Mg 0.500 0.000 0.500
8 Mg 0.000 0.500 0.000
9 S 0.318 0.685 0.056
10 S 0.818 0.815 0.556
11 S 0.682 0.315 0.944
12 S 0.182 0.185 0.444
13 S 0.329 0.690 0.443
14 S 0.829 0.810 0.943
15 S 0.671 0.310 0.557
16 S 0.171 0.190 0.057
17 S 0.886 0.532 0.241
18 S 0.386 0.968 0.741
19 S 0.114 0.468 0.759
20 S 0.614 0.032 0.259

---

Compound: Ac3Si2MoN6
Source: Alexandria via LeMat-Bulk
Functional: PBE-GGA
Structure: relaxed

Computed properties:
* size of the total moment: 0.513 μB per formula unit
* calculated total energy: -95.6 eV per cell
* formation energy from raw total energies: -0.97 eV per atom

Cell lengths 5.682, 5.682, 6.714 Å; angles 90.00, 90.00, 120.00 degrees
Site moments in Bohr magnetons follow the coordinates.
Element x y z (fractional)
1 Ac 0.333 0.667 0.654  0.01
2 Ac 0.667 0.333 0.346  0.01
3 Ac 0.000 0.000 0.000  0.01
4 Si 0.667 0.333 0.802  0.00
5 Si 0.333 0.667 0.198  0.00
6 Mo 0.000 0.000 0.500  0.34
7 N 0.659 0.830 0.314  0.00
8 N 0.170 0.341 0.314  0.00
9 N 0.170 0.830 0.314  0.00
10 N 0.830 0.659 0.686  0.00
11 N 0.341 0.170 0.686  0.00
12 N 0.830 0.170 0.686  0.00

---

Repeat the sixth record exactly.
Compound: Mg3Sb
Source: Alexandria via LeMat-Bulk
Functional: PBE-GGA
Structure: relaxed

Computed properties:
* size of the total moment: 0.000 μB per formula unit
* distance to the lowest polymorph of the same formula: 2.58 kJ/mol of atoms
* calculated total energy: -9.5 eV per cell
* formation energy from raw total energies: -0.15 eV per atom

Cell lengths 4.377, 4.377, 5.740 Å; angles 112.41, 112.41, 90.00 degrees
Element x y z (fractional)
1 Sb 0.000 0.000 0.000
2 Mg 0.750 0.250 0.500
3 Mg 0.250 0.750 0.500
4 Mg 0.500 0.500 0.000

---

- What is the formula in the third record?
  Ce4Pa